(1)
Computed, not measured: an optimized crystal structure of ScIrPb at the GGA-PBE level of DFT.

Output
- uncorrected energy (eV/atom) = -6.233

a = 4.5914 Å, b = 4.5914 Å, c = 4.5914 Å
α = 60.00°, β = 60.00°, γ = 60.00°
Last column: nearest neighbours and their distance in Å.
Positions (direct):
Sc: 0.0000 0.0000 0.0000  4 Pb 2.81, 4 Ir 2.81
Ir: 0.7500 0.7500 0.7500  4 Sc 2.81
Pb: 0.2500 0.2500 0.2500  4 Sc 2.81

=====

(2)
Computed, not measured: an optimized crystal structure of Sc2IrPb at the GGA-PBE level of DFT.

Output
- uncorrected energy (eV/atom) = -6.631

a = 4.7870 Å, b = 4.7870 Å, c = 4.7870 Å
α = 60.00°, β = 60.00°, γ = 60.00°
Last column: nearest neighbours and their distance in Å.
Positions (direct):
Sc: 0.0000 0.0000 0.0000  4 Ir 2.93, 4 Sc 2.93
Sc: 0.2500 0.2500 0.2500  4 Pb 2.93, 4 Sc 2.93
Ir: 0.7500 0.7500 0.7500  4 Sc 2.93, 4 Pb 2.93
Pb: 0.5000 0.5000 0.5000  4 Ir 2.93, 4 Sc 2.93

=====

(3)
Computed, not measured: an optimized crystal structure of Ir3Pb2Se2 at the GGA-PBE level of DFT.

Output
- uncorrected energy (eV/atom) = -5.877

a = 5.9824 Å, b = 5.9824 Å, c = 5.9824 Å
α = 58.56°, β = 58.56°, γ = 58.56°
Last column: nearest neighbours and their distance in Å.
Positions (direct):
Ir: 0.0000 0.5000 0.5000  2 Se 2.46
Ir: 0.5000 0.0000 0.5000  2 Se 2.46
Ir: 0.5000 0.5000 0.0000  2 Se 2.46
Pb: 0.0000 0.0000 0.0000  6 Ir 2.93, 2 Se 3.15
Pb: 0.5000 0.5000 0.5000  6 Ir 2.99
Se: 0.2129 0.2129 0.2129  3 Ir 2.46
Se: 0.7871 0.7871 0.7871  3 Ir 2.46

=====

(4)
Computed, not measured: an optimized crystal structure of Ta2SiIr2Pb at the GGA-PBE level of DFT.

Output
- uncorrected energy (eV/atom) = -8.811

a = 10.6193 Å, b = 4.3223 Å, c = 10.7010 Å
α = 90.00°, β = 109.47°, γ = 90.00°
Last column: nearest neighbours and their distance in Å.
Positions (direct):
Ta: 0.0000 0.0000 0.0000  4 Ir 2.59-2.77
Ta: 0.1130 0.5000 0.3732  4 Ir 2.58-2.69
Ta: 0.2393 0.0000 0.7438  4 Ir 2.68-2.71
Ta: 0.3751 0.5000 0.1379  4 Ir 2.56-2.83
Ta: 0.4977 0.0000 0.5002  3 Ir 2.51-2.65
Ta: 0.6239 0.5000 0.8631  4 Ir 2.62-2.73
Ta: 0.7452 0.0000 0.2615  3 Ir 2.61-2.63
Ta: 0.8662 0.5000 0.6200  4 Ir 2.53-2.60
Si: 0.2452 0.0000 0.2549  4 Ir 2.55-2.66
Si: 0.6195 0.5000 0.3781  4 Ir 2.55-2.59
Si: 0.7467 0.0000 0.7422  4 Ir 2.51-2.63
Si: 0.9906 0.0000 0.4988  4 Ir 2.56-2.63
Ir: 0.1339 0.5000 0.1386  4 Ta 2.56-2.74, 2 Si 2.58, 2 Pb 2.75-2.79
Ir: 0.2274 0.0000 0.4867  2 Si 2.55-2.56, 4 Ta 2.58-2.83, 2 Pb 2.74
Ir: 0.3696 0.5000 0.8721  4 Pb 2.68-2.71, 4 Ta 2.68-2.83
Ir: 0.4990 0.0000 0.2664  4 Ta 2.51-2.66, 3 Si 2.59-2.66, 1 Pb 2.80
Ir: 0.6275 0.5000 0.6193  4 Ta 2.53-2.65, 3 Si 2.55-2.63, 1 Pb 2.76
Ir: 0.7494 0.0000 0.9773  1 Si 2.51, 3 Ta 2.59-2.62, 3 Pb 2.72-2.75
Ir: 0.8631 0.5000 0.3821  4 Ta 2.53-2.69, 3 Si 2.57-2.63, 1 Pb 2.77
Ir: 0.9838 0.0000 0.7362  2 Si 2.54-2.56, 4 Ta 2.60-2.77, 2 Pb 2.75
Pb: 0.1186 0.5000 0.8768  4 Ir 2.68-2.75
Pb: 0.3677 0.5000 0.6189  4 Ir 2.70-2.76
Pb: 0.5016 0.0000 0.0060  4 Ir 2.71-2.80
Pb: 0.8674 0.5000 0.1251  4 Ir 2.72-2.79, 1 Ta 3.04

=====

(5)
Computed, not measured: an optimized crystal structure of SmIrPb at the GGA-PBE level of DFT.

Output
- uncorrected energy (eV/atom) = -5.572

a = 4.8126 Å, b = 4.8126 Å, c = 4.8126 Å
α = 60.00°, β = 60.00°, γ = 60.00°
Last column: nearest neighbours and their distance in Å.
Positions (direct):
Sm: 0.0000 0.0000 0.0000  4 Pb 2.95
Ir: 0.5000 0.5000 0.5000  4 Pb 2.95
Pb: 0.7500 0.7500 0.7500  4 Ir 2.95, 4 Sm 2.95

=====

(6)
Computed, not measured: an optimized crystal structure of SmIrPb at the GGA-PBE level of DFT.

Output
- uncorrected energy (eV/atom) = -5.467

a = 4.8829 Å, b = 4.8829 Å, c = 4.8829 Å
α = 60.00°, β = 60.00°, γ = 60.00°
Last column: nearest neighbours and their distance in Å.
Positions (direct):
Sm: 0.0000 0.0000 0.0000  4 Ir 2.99, 4 Pb 2.99
Ir: 0.7500 0.7500 0.7500  4 Sm 2.99
Pb: 0.2500 0.2500 0.2500  4 Sm 2.99

=====

(7)
Computed, not measured: an optimized crystal structure of SmIr2Pb2 at the GGA-PBE level of DFT.

Output
- uncorrected energy (eV/atom) = -5.909

a = 6.7061 Å, b = 6.7061 Å, c = 6.7061 Å
α = 141.40°, β = 141.40°, γ = 55.73°
Last column: nearest neighbours and their distance in Å.
Positions (direct):
Sm: 0.0000 0.0000 0.0000  8 Pb 3.46, 8 Ir 3.70
Ir: 0.2500 0.7500 0.5000  4 Pb 2.68
Ir: 0.7500 0.2500 0.5000  4 Pb 2.68
Pb: 0.3770 0.3770 0.0000  4 Ir 2.68, 1 Pb 2.92
Pb: 0.6230 0.6230 0.0000  4 Ir 2.68, 1 Pb 2.92

=====

(8)
Computed, not measured: an optimized crystal structure of SnIrPb at the GGA-PBE level of DFT.

Output
- uncorrected energy (eV/atom) = -5.567

a = 4.6440 Å, b = 4.6440 Å, c = 4.6440 Å
α = 60.00°, β = 60.00°, γ = 60.00°
Last column: nearest neighbours and their distance in Å.
Positions (direct):
Sn: 0.0000 0.0000 0.0000  4 Ir 2.84
Ir: 0.7500 0.7500 0.7500  4 Pb 2.84, 4 Sn 2.84
Pb: 0.5000 0.5000 0.5000  4 Ir 2.84

=====

(9)
Computed, not measured: an optimized crystal structure of TaIr2Pb at the GGA-PBE level of DFT.

Output
- uncorrected energy (eV/atom) = -7.938

a = 4.6292 Å, b = 4.6292 Å, c = 4.6292 Å
α = 60.00°, β = 60.00°, γ = 60.00°
Last column: nearest neighbours and their distance in Å.
Positions (direct):
Ta: 0.0000 0.0000 0.0000  4 Pb 2.83, 4 Ir 2.83
Ir: 0.2500 0.2500 0.2500  4 Ta 2.83, 4 Ir 2.83
Ir: 0.5000 0.5000 0.5000  4 Pb 2.83, 4 Ir 2.83
Pb: 0.7500 0.7500 0.7500  4 Ta 2.83, 4 Ir 2.83

=====

(10)
Computed, not measured: an optimized crystal structure of TaIrPb2 at the GGA-PBE level of DFT.

Output
- uncorrected energy (eV/atom) = -6.318

a = 4.9340 Å, b = 4.9340 Å, c = 4.9340 Å
α = 60.00°, β = 60.00°, γ = 60.00°
Last column: nearest neighbours and their distance in Å.
Positions (direct):
Ta: 0.0000 0.0000 0.0000  4 Pb 3.02, 4 Ir 3.02
Ir: 0.2500 0.2500 0.2500  4 Pb 3.02, 4 Ta 3.02
Pb: 0.5000 0.5000 0.5000  4 Ir 3.02, 4 Pb 3.02
Pb: 0.7500 0.7500 0.7500  4 Pb 3.02, 4 Ta 3.02

=====

(11)
Computed, not measured: an optimized crystal structure of Tc2IrPb at the GGA-PBE level of DFT.

Output
- uncorrected energy (eV/atom) = -7.703

a = 4.5670 Å, b = 4.5670 Å, c = 4.5670 Å
α = 60.00°, β = 60.00°, γ = 60.00°
Last column: nearest neighbours and their distance in Å.
Positions (direct):
Tc: 0.0000 0.0000 0.0000  4 Ir 2.80, 4 Tc 2.80
Tc: 0.2500 0.2500 0.2500  4 Pb 2.80, 4 Tc 2.80
Ir: 0.7500 0.7500 0.7500  4 Tc 2.80, 4 Pb 2.80
Pb: 0.5000 0.5000 0.5000  4 Ir 2.80, 4 Tc 2.80

=====

(12)
Computed, not measured: an optimized crystal structure of Te6Ir2Pb at the GGA-PBE level of DFT.

Output
- uncorrected energy (eV/atom) = -4.657

a = 10.8908 Å, b = 10.8908 Å, c = 5.9712 Å
α = 90.23°, β = 90.23°, γ = 21.93°
Last column: nearest neighbours and their distance in Å.
Positions (direct):
Te: 0.0554 0.0554 0.1431  1 Ir 2.67, 1 Te 2.91
Te: 0.2878 0.2878 0.8097  3 Ir 2.70-2.71
Te: 0.3620 0.3620 0.3186  2 Ir 2.69
Te: 0.6380 0.6380 0.6814  2 Ir 2.69
Te: 0.7121 0.7121 0.1903  3 Ir 2.70-2.71
Te: 0.9446 0.9446 0.8569  1 Ir 2.67, 1 Te 2.91
Ir: 0.1675 0.1675 0.9481  6 Te 2.67-2.71
Ir: 0.8325 0.8325 0.0519  6 Te 2.67-2.71
Pb: 0.5000 0.5000 0.5000  6 Te 3.14-3.20

=====

(13)
Computed, not measured: an optimized crystal structure of Tl2IrPb at the GGA-PBE level of DFT.

Output
- uncorrected energy (eV/atom) = -3.815

a = 5.1032 Å, b = 5.1032 Å, c = 5.1032 Å
α = 60.00°, β = 60.00°, γ = 60.00°
Last column: nearest neighbours and their distance in Å.
Positions (direct):
Tl: 0.0000 0.0000 0.0000  4 Ir 3.13, 4 Tl 3.13
Tl: 0.2500 0.2500 0.2500  4 Tl 3.13, 4 Pb 3.13
Ir: 0.7500 0.7500 0.7500  4 Pb 3.13, 4 Tl 3.13
Pb: 0.5000 0.5000 0.5000  4 Ir 3.13, 4 Tl 3.13

=====

(14)
Computed, not measured: an optimized crystal structure of TmIrPb at the GGA-PBE level of DFT.

Output
- uncorrected energy (eV/atom) = -5.502

a = 4.7603 Å, b = 4.7603 Å, c = 4.7603 Å
α = 60.00°, β = 60.00°, γ = 60.00°
Last column: nearest neighbours and their distance in Å.
Positions (direct):
Tm: 0.0000 0.0000 0.0000  4 Pb 2.92, 4 Ir 2.92
Ir: 0.7500 0.7500 0.7500  4 Tm 2.92
Pb: 0.2500 0.2500 0.2500  4 Tm 2.92

=====

(15)
Computed, not measured: an optimized crystal structure of TmIrPb at the GGA-PBE level of DFT.

Output
- uncorrected energy (eV/atom) = -5.520

a = 4.7059 Å, b = 4.7059 Å, c = 4.7059 Å
α = 60.00°, β = 60.00°, γ = 60.00°
Last column: nearest neighbours and their distance in Å.
Positions (direct):
Tm: 0.0000 0.0000 0.0000  4 Pb 2.88
Ir: 0.5000 0.5000 0.5000  4 Pb 2.88
Pb: 0.7500 0.7500 0.7500  4 Tm 2.88, 4 Ir 2.88

=====

(16)
Computed, not measured: an optimized crystal structure of Ir2Pb3W2 at the GGA-PBE level of DFT.

Output
- uncorrected energy (eV/atom) = -6.560

a = 8.3214 Å, b = 8.3214 Å, c = 8.3214 Å
α = 32.34°, β = 32.34°, γ = 32.34°
Last column: nearest neighbours and their distance in Å.
Positions (direct):
Ir: 0.0000 0.0000 0.0000  6 Pb 2.88-2.94, 3 W 3.14
Ir: 0.4966 0.4966 0.4966  5 Pb 2.73-2.81
Pb: 0.3785 0.3785 0.3785  3 W 2.74, 4 Ir 2.79-2.88
Pb: 0.6155 0.6155 0.6155  4 Ir 2.81-2.94, 4 W 2.85-2.91
Pb: 0.8528 0.8528 0.8528  3 Ir 2.73, 4 W 2.76-2.90
W: 0.2334 0.2334 0.2334  6 Pb 2.90-2.91, 3 Ir 3.15
W: 0.7360 0.7360 0.7360  5 Pb 2.74-2.85

=====

(17)
Computed, not measured: an optimized crystal structure of Ir2PbW at the GGA-PBE level of DFT.

Output
- uncorrected energy (eV/atom) = -7.928

a = 4.5835 Å, b = 4.5835 Å, c = 4.5835 Å
α = 60.00°, β = 60.00°, γ = 60.00°
Last column: nearest neighbours and their distance in Å.
Positions (direct):
Ir: 0.0000 0.0000 0.0000  4 W 2.81, 4 Ir 2.81
Ir: 0.2500 0.2500 0.2500  4 Pb 2.81, 4 Ir 2.81
Pb: 0.5000 0.5000 0.5000  4 W 2.81, 4 Ir 2.81
W: 0.7500 0.7500 0.7500  4 Ir 2.81, 4 Pb 2.81

=====

(18)
Computed, not measured: an optimized crystal structure of YIrPb2 at the GGA-PBE level of DFT.

Output
- uncorrected energy (eV/atom) = -5.772

a = 5.0978 Å, b = 5.0978 Å, c = 5.0978 Å
α = 60.00°, β = 60.00°, γ = 60.00°
Last column: nearest neighbours and their distance in Å.
Positions (direct):
Y: 0.0000 0.0000 0.0000  4 Ir 3.12, 4 Pb 3.12
Ir: 0.7500 0.7500 0.7500  4 Pb 3.12, 4 Y 3.12
Pb: 0.2500 0.2500 0.2500  4 Pb 3.12, 4 Y 3.12
Pb: 0.5000 0.5000 0.5000  4 Ir 3.12, 4 Pb 3.12

=====

(19)
Computed, not measured: an optimized crystal structure of Ir7Pd at the GGA-PBE level of DFT.

Output
- uncorrected energy (eV/atom) = -8.312

a = 5.4882 Å, b = 5.4882 Å, c = 5.4882 Å
α = 60.00°, β = 60.00°, γ = 60.00°
Last column: nearest neighbours and their distance in Å.
Positions (direct):
Ir: 0.0000 0.0000 0.0000  12 Ir 2.74
Ir: 0.0000 0.0000 0.5000  10 Ir 2.74, 2 Pd 2.74
Ir: 0.0000 0.5000 0.0000  10 Ir 2.74, 2 Pd 2.74
Ir: 0.0000 0.5000 0.5000  10 Ir 2.74, 2 Pd 2.74
Ir: 0.5000 0.0000 0.0000  10 Ir 2.74, 2 Pd 2.74
Ir: 0.5000 0.0000 0.5000  10 Ir 2.74, 2 Pd 2.74
Ir: 0.5000 0.5000 0.0000  10 Ir 2.74, 2 Pd 2.74
Pd: 0.5000 0.5000 0.5000  12 Ir 2.74

=====

(20)
Computed, not measured: an optimized crystal structure of Ir2Pd at the GGA-PBE level of DFT.

Output
- uncorrected energy (eV/atom) = -7.103

a = 5.1519 Å, b = 5.1519 Å, c = 5.1519 Å
α = 60.00°, β = 60.00°, γ = 60.00°
Last column: nearest neighbours and their distance in Å.
Positions (direct):
Ir: 0.0000 0.0000 0.0000  6 Ir 2.58
Ir: 0.0000 0.0000 0.5000  6 Ir 2.58
Ir: 0.0000 0.5000 0.0000  6 Ir 2.58
Ir: 0.5000 0.0000 0.0000  6 Ir 2.58
Pd: 0.3750 0.3750 0.3750  12 Ir 3.02, 4 Pd 3.15
Pd: 0.6250 0.6250 0.6250  12 Ir 3.02, 4 Pd 3.15

=====

Across the entries above, total magnetic moment takes the values 0.0; 1.0; 0.0; 0.0; 0.0; 0.0; 0.0; 0.0; 0.0; 1.3; 2.4; 0.0; 0.0; 0.0; 0.0; 3.5; 0.0; 0.0; 0.0; 1.4 μB/cell, respectively.